The following is a DFT calculation (PBE with a Hubbard U) of crystalline SrMnO3 at its relaxed geometry.

Properties
Fermi-level density of states, states/eV per atom: 0.000
Symmetry: R-3
Calculated total energy, eV/atom: -6.781

abc: 6.188 6.188 6.188
angles: 51.36 51.36 51.36
Positions (direct):
Sr (0.129, 0.129, 0.129)
Sr (0.871, 0.871, 0.871)
Mn (0.337, 0.337, 0.337)
Mn (0.663, 0.663, 0.663)
O (0.060, 0.478, 0.669)
O (0.331, 0.940, 0.522)
O (0.478, 0.669, 0.060)
O (0.522, 0.331, 0.940)
O (0.669, 0.060, 0.478)
O (0.940, 0.522, 0.331)